1.
{"formula": "TmMgAs2", "functional": "PBE-GGA", "state": "relaxed", "lattice_angstrom": [[2.0277, 1.1707, 6.3860], [-2.0277, 1.1707, 6.3860], [0.0000, -2.3414, 6.3860]], "species": ["Tm", "Mg", "As", "As"], "fractional_positions": [[0.0000, 0.0000, 0.0000], [0.5000, 0.5000, 0.5000], [0.2479, 0.2479, 0.2479], [0.7521, 0.7521, 0.7521]], "total_energy_ev_per_cell": -18.7}

2.
{"formula": "Ge2Sb2I", "functional": "PBE-GGA", "state": "relaxed", "lattice_angstrom": [[8.9356, 0.0000, 0.0000], [0.0000, 8.9356, 0.0000], [0.0000, 0.0000, 3.7386]], "species": ["Ge", "Ge", "Ge", "Ge", "Sb", "Sb", "Sb", "Sb", "I", "I"], "fractional_positions": [[0.1268, 0.3732, 0.0000], [0.3732, 0.8732, 0.0000], [0.6268, 0.1268, 0.0000], [0.8732, 0.6268, 0.0000], [0.1262, 0.6262, 0.5000], [0.3738, 0.1262, 0.5000], [0.6262, 0.8738, 0.5000], [0.8738, 0.3738, 0.5000], [0.0000, 0.0000, 0.5000], [0.5000, 0.5000, 0.5000]], "formation_energy_uncorrected_kcal_per_mol_atoms": 6.18, "de_polymorph_ev_per_atom": 0.2026, "total_energy_ev_per_cell": -35.4}

3.
{"formula": "Sm4Dy11Y9", "functional": "PBE-GGA", "state": "relaxed", "lattice_angstrom": [[8.3755, -12.5862, 0.0000], [8.3755, 12.5862, 0.0000], [0.0000, 0.0000, 3.6884]], "species": ["Sm", "Sm", "Sm", "Sm", "Dy", "Dy", "Dy", "Dy", "Dy", "Dy", "Dy", "Dy", "Dy", "Dy", "Dy", "Y", "Y", "Y", "Y", "Y", "Y", "Y", "Y", "Y"], "fractional_positions": [[0.0536, 0.2549, 0.0000], [0.2549, 0.0536, 0.0000], [0.7451, 0.9464, 0.0000], [0.9464, 0.7451, 0.0000], [0.0917, 0.4540, 0.5000], [0.1341, 0.8659, 0.5000], [0.2093, 0.2093, 0.5000], [0.3411, 0.6589, 0.5000], [0.4540, 0.0917, 0.5000], [0.5000, 0.5000, 0.5000], [0.5460, 0.9083, 0.5000], [0.6589, 0.3411, 0.5000], [0.7907, 0.7907, 0.5000], [0.8659, 0.1341, 0.5000], [0.9083, 0.5460, 0.5000], [0.0000, 0.0000, 0.0000], [0.1335, 0.6624, 0.0000], [0.2867, 0.4329, 0.0000], [0.3376, 0.8665, 0.0000], [0.4329, 0.2867, 0.0000], [0.5671, 0.7133, 0.0000], [0.6624, 0.1335, 0.0000], [0.7133, 0.5671, 0.0000], [0.8665, 0.3376, 0.0000]], "total_energy_ev_per_cell": -126.5}

4.
{"formula": "Zr2Al2Cu", "functional": "PBE-GGA", "state": "relaxed", "lattice_angstrom": [[-1.7777, 1.7777, 7.8072], [1.7777, -1.7777, 7.8072], [1.7777, 1.7777, -7.8072]], "species": ["Zr", "Zr", "Al", "Al", "Cu"], "fractional_positions": [[0.0971, 0.0971, 0.0000], [0.9029, 0.9029, 0.0000], [0.2500, 0.7500, 0.5000], [0.7500, 0.2500, 0.5000], [0.5000, 0.5000, 0.0000]], "de_polymorph_ev_per_atom": 0.5625, "total_energy_ev_per_cell": -27.9}

Please write out number 4 again, unchanged.
{"formula": "Zr2Al2Cu", "functional": "PBE-GGA", "state": "relaxed", "lattice_angstrom": [[-1.7777, 1.7777, 7.8072], [1.7777, -1.7777, 7.8072], [1.7777, 1.7777, -7.8072]], "species": ["Zr", "Zr", "Al", "Al", "Cu"], "fractional_positions": [[0.0971, 0.0971, 0.0000], [0.9029, 0.9029, 0.0000], [0.2500, 0.7500, 0.5000], [0.7500, 0.2500, 0.5000], [0.5000, 0.5000, 0.0000]], "de_polymorph_ev_per_atom": 0.5625, "total_energy_ev_per_cell": -27.9}

Repeat the fourth record exactly.
{"formula": "Zr2Al2Cu", "functional": "PBE-GGA", "state": "relaxed", "lattice_angstrom": [[-1.7777, 1.7777, 7.8072], [1.7777, -1.7777, 7.8072], [1.7777, 1.7777, -7.8072]], "species": ["Zr", "Zr", "Al", "Al", "Cu"], "fractional_positions": [[0.0971, 0.0971, 0.0000], [0.9029, 0.9029, 0.0000], [0.2500, 0.7500, 0.5000], [0.7500, 0.2500, 0.5000], [0.5000, 0.5000, 0.0000]], "de_polymorph_ev_per_atom": 0.5625, "total_energy_ev_per_cell": -27.9}

Question: Number 4 is which compound?
Answer: Zr2Al2Cu